Crystalline PmTlTeO at its relaxed geometry, computed with GGA-PBE.

- SG: Pmc2_1 (26)
- VASP energy: -5.37 eV/atom
- Total magnetization: 0.00 μB/f.u.

Cell and atoms, written as POSCAR:
```
PmTlTeO
1.0
5.028 0.000 0.000
0.000 8.210 0.000
0.000 0.000 6.892
O Te Tl Pm
2 2 2 2
Direct
0.500 0.920 0.719 O
0.500 0.080 0.219 O
0.000 0.327 0.624 Te
0.000 0.673 0.124 Te
0.000 0.269 0.120 Tl
0.000 0.731 0.620 Tl
0.500 0.129 0.528 Pm
0.500 0.871 0.028 Pm
```


Crystalline LiNi3Pb5 at its relaxed geometry, computed with GGA-PBE.

- SG: P6/mmm (191)
- VASP energy: -4.07 eV/atom
- Total magnetization: 0.01 μB/f.u.

Cell and atoms, written as POSCAR:
```
LiNi3Pb5
1.0
-3.591 3.361 2.238
1.809 -4.264 2.783
6.081 4.519 2.971
Pb Ni Li
5 3 1
Direct
0.333 0.667 0.210 Pb
0.333 0.667 0.790 Pb
0.667 0.333 0.790 Pb
0.667 0.333 0.210 Pb
0.000 0.000 0.500 Pb
0.500 0.000 0.500 Ni
0.500 0.500 0.500 Ni
0.000 0.500 0.500 Ni
0.000 0.000 0.000 Li
```


Crystalline ZrIrW at its relaxed geometry, computed with GGA-PBE.

- Formation enthalpy at 0 K: 148 meV per atom
- SG: F-43m (216)
- VASP energy: -9.97 eV/atom
- Total magnetization: 0.01 μB/f.u.
- Polymorph energy (0 for the lowest one): 0.000 eV/atom

Cell and atoms, written as POSCAR:
```
ZrIrW
1.0
-3.739 -2.345 0.221
-1.249 -1.810 3.833
-3.495 1.613 2.171
W Ir Zr
1 1 1
Direct
0.250 0.250 0.250 W
0.000 0.000 0.000 Ir
0.750 0.750 0.750 Zr
```


Crystalline BaTm2 at its relaxed geometry, computed with GGA-PBE.

- SG: Fd-3m (227)
- VASP energy: -3.27 eV/atom
- Total magnetization: 2.01 μB/f.u.
- Polymorph energy (0 for the lowest one): 0.000 eV/atom

Cell and atoms, written as POSCAR:
```
BaTm2
1.0
3.219 -6.149 -1.297
-3.319 -5.010 -3.708
2.143 -1.551 -6.547
Ba Tm
2 4
Direct
0.000 0.000 0.000 Ba
0.250 0.250 0.250 Ba
0.625 0.625 0.125 Tm
0.625 0.125 0.625 Tm
0.625 0.625 0.625 Tm
0.125 0.625 0.625 Tm
```


Crystalline BeSiNiPd at its relaxed geometry, computed with GGA-PBE.

- SG: F-43m (216)
- VASP energy: -5.44 eV/atom
- Total magnetization: 0.01 μB/f.u.
- Polymorph energy (0 for the lowest one): 0.000 eV/atom

Cell and atoms, written as POSCAR:
```
BeSiNiPd
1.0
-3.785 -1.193 0.585
-2.965 1.592 -2.183
-1.857 -2.217 -2.780
Si Pd Be Ni
1 1 1 1
Direct
0.000 0.000 0.000 Si
0.250 0.250 0.250 Pd
0.500 0.500 0.500 Be
0.750 0.750 0.750 Ni
```


Crystalline MgSiTeW at its relaxed geometry, computed with GGA-PBE.

- SG: F-43m (216)
- VASP energy: -4.90 eV/atom
- Total magnetization: 1.62 μB/f.u.
- Polymorph energy (0 for the lowest one): 0.406 eV/atom

Cell and atoms, written as POSCAR:
```
MgSiTeW
1.0
0.289 -3.215 3.457
-1.106 1.196 4.440
-3.942 -1.691 1.992
Te Si Mg W
1 1 1 1
Direct
0.250 0.250 0.250 Te
0.500 0.500 0.500 Si
0.750 0.750 0.750 Mg
0.000 0.000 0.000 W
```


Crystalline BaZnSO at its relaxed geometry, computed with GGA-PBE.

- SG: Cmc2_1 (36)
- VASP energy: -4.84 eV/atom

Cell and atoms, written as POSCAR:
```
BaZnSO
1.0
-6.273 -1.931 1.787
-4.982 -4.543 -0.903
2.353 -3.477 4.505
Zn O S Ba
2 2 2 2
Direct
0.902 0.902 0.411 Zn
0.098 0.098 0.911 Zn
0.004 0.004 0.654 O
0.996 0.996 0.154 O
0.307 0.307 0.415 S
0.693 0.693 0.915 S
0.392 0.392 0.913 Ba
0.608 0.608 0.413 Ba
```


Crystalline ZnHgPO at its relaxed geometry, computed with GGA-PBE.

- SG: Pmc2_1 (26)
- VASP energy: -3.25 eV/atom
- Polymorph energy (0 for the lowest one): 0.000 eV/atom

Cell and atoms, written as POSCAR:
```
ZnHgPO
1.0
3.132 0.000 0.000
0.000 6.916 0.000
0.000 0.000 6.553
Zn Hg P O
2 2 2 2
Direct
0.000 0.296 0.983 Zn
0.000 0.704 0.483 Zn
0.500 0.832 0.046 Hg
0.500 0.168 0.546 Hg
0.000 0.386 0.331 P
0.000 0.614 0.831 P
0.500 0.145 0.894 O
0.500 0.855 0.394 O
```


Crystalline Y2Hf2Ir at its relaxed geometry, computed with GGA-PBE.

- Formation enthalpy at 0 K: 152 meV per atom
- SG: I4_1/amd (141)
- VASP energy: -8.19 eV/atom
- Total magnetization: 0.11 μB/f.u.

Cell and atoms, written as POSCAR:
```
Y2Hf2Ir
1.0
-2.831 2.831 7.387
2.831 -2.831 7.387
2.831 2.831 -7.387
Hf Ir Y
4 2 4
Direct
0.375 0.625 0.750 Hf
0.375 0.125 0.750 Hf
0.375 0.625 0.250 Hf
0.875 0.625 0.250 Hf
0.750 0.250 0.500 Ir
0.000 0.000 0.000 Ir
0.563 0.063 0.500 Y
0.813 0.813 0.000 Y
0.187 0.187 0.000 Y
0.937 0.437 0.500 Y
```


Crystalline Er3Mg3Tl2Hg at its relaxed geometry, computed with GGA-PBE.

- SG: P-62m (189)
- VASP energy: -2.95 eV/atom
- Total magnetization: 0.00 μB/f.u.

Cell and atoms, written as POSCAR:
```
Er3Mg3Tl2Hg
1.0
7.454 0.000 0.000
-3.727 6.456 0.000
0.000 0.000 4.594
Mg Tl Er Hg
3 2 3 1
Direct
0.000 0.239 0.500 Mg
0.239 0.000 0.500 Mg
0.761 0.761 0.500 Mg
0.667 0.333 0.500 Tl
0.333 0.667 0.500 Tl
0.579 0.000 0.000 Er
0.421 0.421 0.000 Er
0.000 0.579 0.000 Er
0.000 0.000 0.000 Hg
```


Crystalline ZrAl2N at its relaxed geometry, computed with GGA-PBE.

- SG: P6_3/mmc (194)
- VASP energy: -6.56 eV/atom
- Total magnetization: 0.00 μB/f.u.

Cell and atoms, written as POSCAR:
```
ZrAl2N
1.0
2.957 0.000 0.000
-1.479 2.561 0.000
0.000 0.000 14.888
Al N Zr
4 2 2
Direct
0.667 0.333 0.920 Al
0.333 0.667 0.420 Al
0.333 0.667 0.080 Al
0.667 0.333 0.580 Al
0.000 0.000 0.500 N
0.000 0.000 0.000 N
0.333 0.667 0.750 Zr
0.667 0.333 0.250 Zr
```


Crystalline PrTePb at its relaxed geometry, computed with GGA-PBE.

- SG: F-43m (216)
- VASP energy: -4.25 eV/atom
- Total magnetization: 0.42 μB/f.u.

Cell and atoms, written as POSCAR:
```
PrTePb
1.0
0.000 3.796 3.796
3.796 0.000 3.796
3.796 3.796 0.000
Te Pb Pr
1 1 1
Direct
0.750 0.750 0.750 Te
0.250 0.250 0.250 Pb
0.000 0.000 0.000 Pr
```